## NaLaCeIn (GGA-PBE)

Data for crystalline NaLaCeIn at its relaxed geometry.

Cell: 7.9096 7.9096 7.9096 Å, 90.00 90.00 90.00°
Space group F-43m (No. 216)
Inequivalent atoms, fractional coordinates:
Na  0.0000  0.0000  0.0000 x4
La  0.2500  0.2500  0.7500 x4
Ce  0.2500  0.2500  0.2500 x4
In  0.0000  0.0000  0.5000 x4

## Properties
Magnetization ... 4.7 Bohr magnetons per cell
Total energy ... -60.40 eV/cell
D(E_F) ... 2.964 states/eV/atom
Formation energy ... -45 meV/atom